(1)
{"formula": "La5TbPm5", "functional": "PBE", "state": "relaxed", "volume_a3_per_atom": 35.504, "delta_e_f_ev_per_atom": 0.272, "dft_energy_ev_per_atom": -4.548, "cell": [[6.273, 0.000, 0.000], [-3.137, 5.433, 0.000], [0.000, 0.000, 11.460]], "species": ["La", "La", "La", "La", "La", "Tb", "Pm", "Pm", "Pm", "Pm", "Pm"], "fractional_positions": [[0.000, 0.000, 0.234], [0.000, 0.000, 0.766], [0.343, 0.172, 0.000], [0.828, 0.172, 0.000], [0.828, 0.657, 0.000], [0.333, 0.667, 0.500], [0.000, 0.000, 0.500], [0.333, 0.667, 0.183], [0.333, 0.667, 0.817], [0.667, 0.333, 0.336], [0.667, 0.333, 0.664]]}

(2)
{"formula": "LaTb4Pm8", "functional": "PBE", "state": "relaxed", "volume_a3_per_atom": 34.130, "delta_e_f_ev_per_atom": 0.162, "dft_energy_ev_per_atom": -4.565, "cell": [[3.713, 2.144, 9.290], [-3.713, 2.144, 9.290], [0.000, -4.287, 9.290]], "species": ["La", "Tb", "Tb", "Tb", "Tb", "Pm", "Pm", "Pm", "Pm", "Pm", "Pm", "Pm", "Pm"], "fractional_positions": [[0.000, 0.000, 0.000], [0.000, 0.000, 0.500], [0.000, 0.500, 0.000], [0.500, 0.000, 0.000], [0.500, 0.500, 0.500], [0.249, 0.249, 0.699], [0.249, 0.699, 0.249], [0.281, 0.281, 0.281], [0.301, 0.751, 0.751], [0.699, 0.249, 0.249], [0.719, 0.719, 0.719], [0.751, 0.301, 0.751], [0.751, 0.751, 0.301]]}

(3)
{"formula": "LaTb12Pm6", "functional": "PBE", "state": "relaxed", "volume_a3_per_atom": 34.289, "polymorph_energy_ev_per_atom": 0.053, "delta_e_f_ev_per_atom": 0.200, "dft_energy_ev_per_atom": -4.484, "cell": [[6.672, 3.852, 4.225], [-6.672, 3.852, 4.225], [0.000, -7.704, 4.225]], "species": ["La", "Tb", "Tb", "Tb", "Tb", "Tb", "Tb", "Tb", "Tb", "Tb", "Tb", "Tb", "Tb", "Pm", "Pm", "Pm", "Pm", "Pm", "Pm"], "fractional_positions": [[0.000, 0.000, 0.000], [0.082, 0.356, 0.356], [0.242, 0.500, 0.758], [0.242, 0.758, 0.500], [0.356, 0.082, 0.356], [0.356, 0.356, 0.082], [0.500, 0.242, 0.758], [0.500, 0.758, 0.242], [0.644, 0.644, 0.918], [0.644, 0.918, 0.644], [0.758, 0.242, 0.500], [0.758, 0.500, 0.242], [0.918, 0.644, 0.644], [0.099, 0.099, 0.655], [0.099, 0.655, 0.099], [0.345, 0.901, 0.901], [0.655, 0.099, 0.099], [0.901, 0.345, 0.901], [0.901, 0.901, 0.345]]}

(4)
{"formula": "La7Tb2Pm2", "functional": "PBE", "state": "relaxed", "volume_a3_per_atom": 37.047, "polymorph_energy_ev_per_atom": 0.175, "delta_e_f_ev_per_atom": 0.288, "dft_energy_ev_per_atom": -4.553, "cell": [[6.115, -3.404, 0.000], [6.115, 3.404, 0.000], [-0.013, 0.000, 9.788]], "species": ["La", "La", "La", "La", "La", "La", "La", "Tb", "Tb", "Pm", "Pm"], "fractional_positions": [[0.000, 0.000, 0.000], [0.000, 0.500, 0.320], [0.000, 0.500, 0.680], [0.500, 0.000, 0.320], [0.500, 0.000, 0.680], [0.500, 0.500, 0.175], [0.500, 0.500, 0.825], [0.252, 0.748, 0.500], [0.748, 0.252, 0.500], [0.267, 0.267, 0.000], [0.733, 0.733, 0.000]]}

(5)
{"formula": "LaTb12Pm7", "functional": "PBE", "state": "relaxed", "volume_a3_per_atom": 36.944, "polymorph_energy_ev_per_atom": 0.390, "delta_e_f_ev_per_atom": 0.618, "dft_energy_ev_per_atom": -4.069, "cell": [[-5.695, 5.695, 5.695], [5.695, -5.695, 5.695], [5.695, 5.695, -5.695]], "species": ["La", "Tb", "Tb", "Tb", "Tb", "Tb", "Tb", "Tb", "Tb", "Tb", "Tb", "Tb", "Tb", "Pm", "Pm", "Pm", "Pm", "Pm", "Pm", "Pm"], "fractional_positions": [[0.000, 0.000, 0.000], [0.000, 0.253, 0.747], [0.000, 0.747, 0.253], [0.253, 0.000, 0.747], [0.253, 0.253, 0.506], [0.253, 0.506, 0.253], [0.253, 0.747, 0.000], [0.494, 0.747, 0.747], [0.506, 0.253, 0.253], [0.747, 0.000, 0.253], [0.747, 0.253, 0.000], [0.747, 0.494, 0.747], [0.747, 0.747, 0.494], [0.000, 0.000, 0.500], [0.000, 0.500, 0.000], [0.000, 0.500, 0.500], [0.500, 0.000, 0.000], [0.500, 0.000, 0.500], [0.500, 0.500, 0.000], [0.500, 0.500, 0.500]]}

(6)
{"formula": "LaTbPm", "functional": "PBE", "state": "relaxed", "volume_a3_per_atom": 34.507, "polymorph_energy_ev_per_atom": 0.003, "delta_e_f_ev_per_atom": 0.022, "dft_energy_ev_per_atom": -4.748, "cell": [[-1.832, 2.586, 5.462], [1.832, -2.586, 5.462], [1.832, 2.586, -5.462]], "species": ["La", "Tb", "Pm"], "fractional_positions": [[0.000, 0.000, 0.000], [0.332, 0.332, 0.000], [0.668, 0.668, 0.000]]}

(7)
{"formula": "La7Tb2Pm", "functional": "PBE", "state": "relaxed", "volume_a3_per_atom": 42.580, "polymorph_energy_ev_per_atom": 0.264, "delta_e_f_ev_per_atom": 0.586, "dft_energy_ev_per_atom": -4.264, "cell": [[4.522, -8.138, 0.000], [4.522, 8.138, 0.000], [0.000, 0.000, 5.785]], "species": ["La", "La", "La", "La", "La", "La", "La", "Tb", "Tb", "Pm"], "fractional_positions": [[0.000, 0.000, 0.000], [0.202, 0.432, 0.000], [0.262, 0.738, 0.500], [0.432, 0.202, 0.000], [0.568, 0.798, 0.000], [0.738, 0.262, 0.500], [0.798, 0.568, 0.000], [0.203, 0.797, 0.000], [0.797, 0.203, 0.000], [0.500, 0.500, 0.500]]}

(8)
{"formula": "La2Tb5Pm12", "functional": "PBE", "state": "relaxed", "volume_a3_per_atom": 34.635, "polymorph_energy_ev_per_atom": 0.000, "delta_e_f_ev_per_atom": 0.120, "dft_energy_ev_per_atom": -4.617, "cell": [[8.149, -5.045, 0.000], [8.149, 5.045, 0.000], [-0.038, 0.000, 8.003]], "species": ["La", "La", "Tb", "Tb", "Tb", "Tb", "Tb", "Pm", "Pm", "Pm", "Pm", "Pm", "Pm", "Pm", "Pm", "Pm", "Pm", "Pm", "Pm"], "fractional_positions": [[0.213, 0.787, 0.000], [0.787, 0.213, 0.000], [0.000, 0.000, 0.500], [0.248, 0.248, 0.490], [0.354, 0.354, 0.919], [0.646, 0.646, 0.081], [0.752, 0.752, 0.510], [0.038, 0.576, 0.207], [0.164, 0.164, 0.124], [0.168, 0.620, 0.611], [0.380, 0.832, 0.389], [0.424, 0.962, 0.793], [0.449, 0.449, 0.289], [0.551, 0.551, 0.711], [0.576, 0.038, 0.207], [0.620, 0.168, 0.611], [0.832, 0.380, 0.389], [0.836, 0.836, 0.876], [0.962, 0.424, 0.793]]}